# GGA-PBE CoSbS, relaxed
# D(E_F) in states/eV/cell: 0.0
# Energy relative to the elements, uncorrected in eV/atom: -0.3532
# Total DFT energy (no corrections) in eV/atom: -5.47
data_CoSbS
_chemical_formula_sum 'Co4 Sb4 S4'
_cell_length_a 5.843
_cell_length_b 5.843
_cell_length_c 5.843
_cell_angle_alpha 90.00
_cell_angle_beta 90.00
_cell_angle_gamma 90.00
_space_group_name_H-M_alt 'P 21 3'
_space_group_IT_number 198
_space_group_name_Hall 'P 2ac 2ab 3'
loop_
_atom_site_label
_atom_site_type_symbol
_atom_site_fract_x
_atom_site_fract_y
_atom_site_fract_z
Co1 Co 0.020 0.020 0.020
Sb1 Sb 0.128 0.628 0.872
S1 S 0.123 0.877 0.377